Version one
Here is an optimized crystal structure of HgMo2Cl from Alexandria. Energies are from GGA-PBE.

Output
Symmetry: Cmmm, No. 65

Cell lengths 2.8732, 5.2338, 9.3959 Å; angles 90.00, 90.00, 90.00 degrees
With the nearest neighbours (Å) after each atom.
Fractional positions:
Hg (0.0000, 0.0000, 0.0000)  6 Hg 2.87-2.99, 4 Mo 2.90
Hg (0.5000, 0.5000, 0.0000)  6 Hg 2.87-2.99, 4 Mo 2.90
Mo (0.0000, 0.5000, 0.2687)  2 Cl 2.61, 2 Mo 2.87, 2 Hg 2.90
Mo (0.0000, 0.5000, 0.7313)  2 Cl 2.61, 2 Mo 2.87, 2 Hg 2.90
Mo (0.5000, 0.0000, 0.2687)  2 Cl 2.61, 2 Mo 2.87, 2 Hg 2.90
Mo (0.5000, 0.0000, 0.7313)  2 Cl 2.61, 2 Mo 2.87, 2 Hg 2.90
Cl (0.0000, 0.0000, 0.5000)  4 Mo 2.61, 2 Cl 2.87
Cl (0.5000, 0.5000, 0.5000)  4 Mo 2.61, 2 Cl 2.87

Version two
Here is an optimized crystal structure of HgMo2Cl from Alexandria. Energies are from GGA-PBE.

Output
Symmetry: R-3m, No. 166

Cell lengths 2.9580, 2.9580, 26.6688 Å; angles 90.00, 90.00, 120.00 degrees
With the nearest neighbours (Å) after each atom.
Fractional positions:
Hg (0.0000, 0.0000, 0.0000)  6 Mo 2.95, 6 Hg 2.96
Hg (0.3333, 0.6667, 0.6667)  6 Mo 2.95, 6 Hg 2.96
Hg (0.6667, 0.3333, 0.3333)  6 Mo 2.95, 6 Hg 2.96
Mo (0.0000, 0.0000, 0.2429)  3 Cl 2.66, 3 Hg 2.95, 6 Mo 2.96
Mo (0.0000, 0.0000, 0.7571)  3 Cl 2.66, 3 Hg 2.95, 6 Mo 2.96
Mo (0.3333, 0.6667, 0.4238)  3 Cl 2.66, 3 Hg 2.95, 6 Mo 2.96
Mo (0.3333, 0.6667, 0.9096)  3 Cl 2.66, 3 Hg 2.95, 6 Mo 2.96
Mo (0.6667, 0.3333, 0.0904)  3 Cl 2.66, 3 Hg 2.95, 6 Mo 2.96
Mo (0.6667, 0.3333, 0.5762)  3 Cl 2.66, 3 Hg 2.95, 6 Mo 2.96
Cl (0.0000, 0.0000, 0.5000)  6 Mo 2.66, 6 Cl 2.96
Cl (0.3333, 0.6667, 0.1667)  6 Mo 2.66, 6 Cl 2.96
Cl (0.6667, 0.3333, 0.8333)  6 Mo 2.66, 6 Cl 2.96

Short version: version two, version one, most stable first.